# 1
A relaxed structure of TaRu3Rh, computed with PBE-GGA.

a = 4.657 Å, b = 4.657 Å, c = 4.657 Å
α = 90.00°, β = 90.00°, γ = 90.00°
Last column: magnetic moment on the atom in μB.
Fractional coordinates of all 5 atoms:
Ru (0.000, 0.500, 0.000)  1.04
Ru (0.500, 0.000, 0.000)  0.88
Ru (0.000, 0.000, 0.500)  0.95
Ta (0.000, 0.000, 0.000)  -0.16
Rh (0.500, 0.500, 0.500)  0.87

D(E_F)   1.35 states/eV per atom
Formation enthalpy at 0 K   1718 meV per atom
SG   Pm-3m, No. 221
E   -7.688 eV/atom
Magnetization   3.61 Bohr magnetons per cell

---

# 2
A relaxed structure of Ta2RuRh, computed with PBE-GGA.

a = 4.492 Å, b = 4.492 Å, c = 4.492 Å
α = 60.00°, β = 60.00°, γ = 60.00°
Last column: magnetic moment on the atom in μB.
Fractional coordinates of all 4 atoms:
Ru (0.750, 0.750, 0.750)  0.28
Rh (0.500, 0.500, 0.500)  0.18
Ta (0.250, 0.250, 0.250)  0.02
Ta (0.000, 0.000, 0.000)  -0.01

D(E_F)   1.89 states/eV per atom
Formation enthalpy at 0 K   -95 meV per atom
SG   F-43m, No. 216
E   -10.178 eV/atom
Magnetization   0.49 Bohr magnetons per cell

---

# 3
A relaxed structure of Ta2RuRh, computed with PBE-GGA.

a = 3.246 Å, b = 3.247 Å, c = 6.218 Å
α = 90.00°, β = 90.00°, γ = 90.00°
Fractional coordinates of all 4 atoms:
Ta (0.000, 0.000, 0.979)
Ta (0.500, 0.500, 0.272)
Rh (0.000, 0.000, 0.477)
Ru (0.500, 0.500, 0.772)

D(E_F)   1.05 states/eV per atom
Formation enthalpy at 0 K   -278 meV per atom
SG   P4mm, No. 99
E   -10.361 eV/atom
Magnetization   0.00 Bohr magnetons per cell

---

# 4
A relaxed structure of Ta2Ru3Rh3, computed with PBE-GGA.

a = 3.901 Å, b = 3.892 Å, c = 7.818 Å
α = 90.00°, β = 90.00°, γ = 90.00°
Fractional coordinates of all 8 atoms:
Rh (0.500, 0.000, 0.000)
Rh (0.500, 0.500, 0.751)
Rh (0.500, 0.500, 0.249)
Ta (0.000, 0.000, 0.251)
Ta (0.000, 0.000, 0.749)
Ru (0.500, 0.000, 0.500)
Ru (0.000, 0.500, 0.000)
Ru (0.000, 0.500, 0.500)

D(E_F)   1.06 states/eV per atom
Formation enthalpy at 0 K   -403 meV per atom
SG   Pmmm, No. 47
E   -9.602 eV/atom
Magnetization   0.00 Bohr magnetons per cell

---

# 5
A relaxed structure of Ta6RuRh5, computed with PBE-GGA.

a = 4.077 Å, b = 7.541 Å, c = 7.541 Å
α = 110.20°, β = 105.66°, γ = 105.66°
Fractional coordinates of all 12 atoms:
Ru (0.000, 0.000, 0.000)
Ta (0.745, 0.245, 0.245)
Ta (0.255, 0.755, 0.755)
Ta (0.753, 0.587, 0.919)
Ta (0.247, 0.081, 0.413)
Ta (0.753, 0.919, 0.587)
Ta (0.247, 0.413, 0.081)
Rh (0.500, 0.500, 0.500)
Rh (0.000, 0.665, 0.335)
Rh (0.500, 0.829, 0.171)
Rh (0.500, 0.171, 0.829)
Rh (0.000, 0.335, 0.665)

D(E_F)   0.95 states/eV per atom
Formation enthalpy at 0 K   -440 meV per atom
SG   Immm, No. 71
E   -10.203 eV/atom
Magnetization   0.00 Bohr magnetons per cell

---

# 6
A relaxed structure of Ta4RuRh5, computed with PBE-GGA.

a = 4.766 Å, b = 5.580 Å, c = 6.422 Å
α = 104.23°, β = 106.14°, γ = 76.76°
Fractional coordinates of all 10 atoms:
Rh (0.106, 0.403, 0.209)
Rh (0.894, 0.597, 0.791)
Rh (0.500, 0.500, 0.000)
Rh (0.278, 0.185, 0.591)
Rh (0.722, 0.815, 0.409)
Ta (0.310, 0.690, 0.630)
Ta (0.690, 0.310, 0.370)
Ta (0.865, 0.124, 0.809)
Ta (0.135, 0.876, 0.191)
Ru (0.500, 0.000, 0.000)

D(E_F)   0.88 states/eV per atom
Formation enthalpy at 0 K   -492 meV per atom
SG   P-1, No. 2
E   -9.837 eV/atom
Magnetization   0.00 Bohr magnetons per cell

---

# 7
A relaxed structure of TaRuRh, computed with PBE-GGA.

a = 4.432 Å, b = 5.439 Å, c = 4.432 Å
α = 90.00°, β = 120.00°, γ = 90.00°
Fractional coordinates of all 6 atoms:
Rh (0.000, 0.500, 0.500)
Rh (0.000, 0.000, 0.500)
Ta (0.333, 0.250, 0.167)
Ta (0.667, 0.750, 0.833)
Ru (0.333, 0.750, 0.167)
Ru (0.667, 0.250, 0.833)

D(E_F)   0.35 states/eV per atom
Formation enthalpy at 0 K   -359 meV per atom
SG   P6_3/mmc, No. 194
E   -9.852 eV/atom
Magnetization   0.00 Bohr magnetons per cell

---

# 8
A relaxed structure of Ta6Ru5Rh, computed with PBE-GGA.

a = 4.329 Å, b = 7.071 Å, c = 7.539 Å
α = 117.96°, β = 106.69°, γ = 90.01°
Fractional coordinates of all 12 atoms:
Ta (0.524, 0.769, 0.049)
Ta (0.476, 0.231, 0.951)
Ta (0.159, 0.412, 0.318)
Ta (0.180, 0.930, 0.361)
Ta (0.820, 0.070, 0.639)
Ta (0.841, 0.588, 0.682)
Ru (0.663, 0.196, 0.327)
Ru (0.337, 0.804, 0.673)
Ru (0.333, 0.364, 0.665)
Ru (0.667, 0.636, 0.335)
Ru (0.000, 0.500, 0.000)
Rh (0.000, 0.000, 0.000)

D(E_F)   0.72 states/eV per atom
Formation enthalpy at 0 K   -389 meV per atom
SG   C2/m, No. 12
E   -10.793 eV/atom
Magnetization   0.00 Bohr magnetons per cell